The following is a DFT calculation (GGA-PBE) of DyPaHgSb after structural relaxation.

Unit cell a=5.2932 b=5.2932 c=5.2932 alpha=60.00 beta=60.00 gamma=60.00
Each line ends with the local moment (μB).
Atoms (fractional coordinates):
Dy 0.7500 0.7500 0.7500  0.32
Sb 0.0000 0.0000 0.0000  0.01
Hg 0.5000 0.5000 0.5000  0.04
Pa 0.2500 0.2500 0.2500  1.21

* uncorrected formation energy: -0.285 eV/atom
* E_tot: -19.662 eV per cell
* M_tot: 2.09 μB per cell

=====

The following is a DFT calculation (GGA-PBE) of CdTe3Ru after structural relaxation.

Unit cell a=5.2595 b=5.2595 c=5.2595 alpha=90.00 beta=90.00 gamma=90.00
Atoms (fractional coordinates):
Cd 0.5000 0.5000 0.5000
Te 0.0000 0.5000 0.0000
Te 0.0000 0.0000 0.5000
Te 0.5000 0.0000 0.0000
Ru 0.0000 0.0000 0.0000

* uncorrected formation energy: 0.412 eV/atom
* E_tot: -17.556 eV per cell
* M_tot: 0.00 μB per cell

=====

The following is a DFT calculation (GGA-PBE) of PaSi2Mo after structural relaxation.

Unit cell a=3.2511 b=3.2511 c=6.4976 alpha=90.00 beta=90.00 gamma=90.00
Atoms (fractional coordinates):
Pa 0.5000 0.5000 0.5000
Mo 0.5000 0.5000 0.0000
Si 0.0000 0.0000 0.1983
Si 0.0000 0.0000 0.8017

* uncorrected formation energy: -0.284 eV/atom
* E_tot: -32.310 eV per cell
* energy above the most stable polymorph in this dataset: 0.95 eV per formula unit
* M_tot: 0.00 μB per cell

=====

The following is a DFT calculation (GGA-PBE) of AgSbPtI2 after structural relaxation.

Unit cell a=5.6834 b=5.6834 c=5.0962 alpha=90.00 beta=90.00 gamma=90.00
Atoms (fractional coordinates):
I 0.0000 0.5000 0.0000
Ag 0.5000 0.5000 0.5000
I 0.5000 0.0000 0.0000
Pt 0.0000 0.0000 0.0000
Sb 0.0000 0.0000 0.5000

* uncorrected formation energy: 0.381 eV/atom
* E_tot: -14.211 eV per cell
* energy above the most stable polymorph in this dataset: 0.00 eV per formula unit
* M_tot: 0.00 μB per cell

=====

The following is a DFT calculation (GGA-PBE) of ThBe4IrPt2 after structural relaxation.

Unit cell a=3.9411 b=3.9411 c=8.7105 alpha=76.92 beta=76.92 gamma=60.00
Atoms (fractional coordinates):
Pt 0.2378 0.2378 0.2867
Be 0.4106 0.4106 0.7682
Th 0.0000 0.0000 0.0000
Be 0.5894 0.5894 0.2318
Ir 0.5000 0.5000 0.5000
Pt 0.7622 0.7622 0.7133
Be 0.1352 0.1352 0.5943
Be 0.8648 0.8648 0.4057

* E_tot: -48.512 eV per cell
* M_tot: 0.00 μB per cell
* formation energy: -656 meV per atom

=====

The following is a DFT calculation (GGA-PBE) of BeP2Br after structural relaxation.

Unit cell a=6.6327 b=6.6327 c=6.6327 alpha=31.08 beta=31.08 gamma=31.08
Atoms (fractional coordinates):
Be 0.2500 0.2500 0.2500
P 0.9662 0.9662 0.9662
Br 0.7500 0.7500 0.7500
P 0.5338 0.5338 0.5338

* uncorrected formation energy: 0.302 eV/atom
* E_tot: -15.010 eV per cell
* energy above the most stable polymorph in this dataset: 2.14 eV per formula unit
* M_tot: 0.00 μB per cell